[1]
Crystalline Na5Cd6 at its relaxed geometry, computed with PBE.

Properties
E_form: -63.4 meV per atom
total moment: 0.00 μB per formula unit
uncorrected energy: -1.16 eV/atom

Lattice parameters (Å, degrees): 9.1786 14.1781 5.2316 90.00 119.77 90.00
Space group C2/m (No. 12)
Unique sites:
Na 0.0000 0.0000 0.0000 (multiplicity 2)
Na 0.0000 0.1556 0.5000 (multiplicity 4)
Na 0.0000 0.2905 0.0000 (multiplicity 4)
Cd 0.1834 0.3819 0.6694 (multiplicity 8)
Cd 0.1916 0.5000 0.1800 (multiplicity 4)


[2]
Crystalline Li3Zr2PaSe6 at its relaxed geometry, computed with PBE.

Properties
total moment: 0.29 μB per formula unit
formation energy (no corrections): -1324 meV per atom
uncorrected energy: -5.76 eV/atom

Lattice parameters (Å, degrees): 6.5995 11.4350 7.0781 90.00 108.09 90.00
Space group C2/m (No. 12)
Unique sites:
Li 0.0000 0.0000 0.0000 (multiplicity 2)
Li 0.0000 0.3339 0.0000 (multiplicity 4)
Zr 0.0000 0.1667 0.5000 (multiplicity 4)
Pa 0.0000 0.5000 0.5000 (multiplicity 2)
Se 0.2454 0.0000 0.7562 (multiplicity 4)
Se 0.2448 0.1700 0.2439 (multiplicity 8)


[3]
Crystalline RhSCl2O at its relaxed geometry, computed with PBE.

Properties
total moment: 2.90 μB per formula unit
formation energy (no corrections): 1005 meV per atom
E above lowest polymorph: 2.173 eV per formula unit
uncorrected energy: -3.02 eV/atom

Lattice parameters (Å, degrees): 4.5794 4.5794 4.0209 90.00 90.00 90.00
Space group P4/mmm (No. 123)
Unique sites:
Rh 0.0000 0.0000 0.0000 (multiplicity 1)
S 0.5000 0.5000 0.0000 (multiplicity 1)
Cl 0.0000 0.5000 0.5000 (multiplicity 2)
O 0.5000 0.5000 0.5000 (multiplicity 1)


[4]
Crystalline RbAcS14 at its relaxed geometry, computed with PBE.

Properties
total moment: 0.39 μB per formula unit
formation energy (no corrections): -280 meV per atom
uncorrected energy: -4.21 eV/atom

Lattice parameters (Å, degrees): 11.0994 25.0771 8.8175 90.00 90.00 90.00
Space group Imma (No. 74)
Unique sites:
Rb 0.0000 0.2500 0.2117 (multiplicity 4)
Ac 0.2500 0.2500 0.7500 (multiplicity 4)
S 0.0000 0.0716 0.5271 (multiplicity 8)
S 0.0000 0.1092 0.7182 (multiplicity 8)
S 0.0000 0.1928 0.6876 (multiplicity 8)
S 0.1702 0.1674 0.9874 (multiplicity 16)
S 0.2017 0.1562 0.3539 (multiplicity 16)


What are the density of states at the Fermi level values for these records? In order: 3.88; 8.96; 5.01; 8.44 states/eV/f.u..